1.
Below is a relaxed NbTcOsW crystal, with properties calculated at the PBE level.

Computed properties:
Its magnetic moment is 0.000 μB/atom. As for the crystal system: cubic. As for the energy of formation: -0.01 eV per atom.

Cell lengths 4.470, 4.470, 4.470 Å; angles 60.00, 60.00, 60.00 degrees
Sites, in units of the cell vectors:
Nb1 0.500 0.500 0.500
Os1 0.750 0.750 0.750
Tc1 0.250 0.250 0.250
W1 0.000 0.000 0.000

=====

2.
Below is a relaxed NbZn2TcOs crystal, with properties calculated at the PBE level.

Computed properties:
Its magnetic moment is 0.000 μB/atom. As for the crystal system: tetragonal. As for the energy of formation: 1.33 eV per atom.

Cell lengths 4.625, 4.680, 4.625 Å; angles 90.00, 90.00, 90.00 degrees
Sites, in units of the cell vectors:
Zn1 0.000 0.000 0.500
Zn2 0.500 0.000 0.000
Nb1 0.500 0.500 0.500
Os1 0.000 0.000 0.000
Tc1 0.000 0.500 0.000

=====

3.
Below is a relaxed ZrNbTcOs crystal, with properties calculated at the PBE level.

Computed properties:
Its magnetic moment is 0.000 μB/atom. As for the crystal system: orthorhombic. As for the energy of formation: -0.39 eV per atom.

Cell lengths 3.235, 4.584, 4.580 Å; angles 90.00, 90.00, 90.00 degrees
Sites, in units of the cell vectors:
Zr1 0.500 0.500 0.000
Nb1 0.500 0.000 0.500
Tc1 0.000 0.000 0.000
Os1 0.000 0.500 0.500

=====

4.
Below is a relaxed ZrNb2TcOs crystal, with properties calculated at the PBE level.

Computed properties:
Its magnetic moment is 0.000 μB/atom. As for the crystal system: tetragonal. As for the energy of formation: 0.98 eV per atom.

Cell lengths 4.845, 4.713, 4.845 Å; angles 90.00, 90.00, 90.00 degrees
Sites, in units of the cell vectors:
Nb1 0.000 0.000 0.500
Nb2 0.500 0.000 0.000
Os1 0.000 0.000 0.000
Tc1 0.000 0.500 0.000
Zr1 0.500 0.500 0.500